PbCSe2 | PBE-GGA | optimized geometry

## Properties
Fermi-level density of states	0.51	states/eV per atom
total magnetic moment	0.00	μB per cell
formation energy without anion corrections	1.06	eV/atom

Unit cell a=9.014 b=9.014 c=9.014 alpha=21.14 beta=21.14 gamma=21.14
Atoms (fractional coordinates):
1 Pb 0.000 0.000 0.000
2 C 0.500 0.500 0.500
3 Se 0.116 0.116 0.116
4 Se 0.884 0.884 0.884